First-principles (GGA-PBE) data for a relaxed KCrCo2Br8 crystal, as listed in Alexandria.

For the volume, the calculation gives 30.9 A^3/atom. The value obtained for the uncorrected formation energy is -649 meV per atom. As for the density of states at the Fermi level: 0.8 states/eV/cell.

```
12
Lattice="-4.700 0.067 4.537 -6.152 -1.456 -1.648 -1.854 -10.142 2.934" Properties=species:S:1:pos:R:3 pbc="T T T"
K -6.353 -5.765 2.912
Cr 0.000 0.000 0.000
Co -3.234 -2.569 1.392
Co -9.472 -8.962 4.431
Br -2.823 -4.823 1.851
Br -4.961 -1.862 2.899
Br -9.883 -6.708 3.972
Br -8.630 -2.381 3.637
Br -4.075 -9.150 2.186
Br -7.324 -2.858 0.123
Br -5.381 -8.673 5.700
Br -7.745 -9.668 2.924
```

***

First-principles (GGA-PBE) data for a relaxed CrCoNiBr2 crystal, as listed in Alexandria.

For the volume, the calculation gives 21.8 A^3/atom. The value obtained for the uncorrected formation energy is 1015 meV per atom. As for the density of states at the Fermi level: 8.4 states/eV/cell.

```
5
Lattice="4.745 0.000 0.000 0.000 4.832 0.000 0.000 0.000 4.745" Properties=species:S:1:pos:R:3 pbc="T T T"
Ni 0.000 0.000 0.000
Co 2.373 2.416 2.373
Br 0.000 0.000 2.373
Br 2.373 0.000 0.000
Cr 0.000 2.416 0.000
```

***

First-principles (GGA-PBE) data for a relaxed CrCoPt2Br crystal, as listed in Alexandria.

For the volume, the calculation gives 20.0 A^3/atom. The value obtained for the uncorrected formation energy is 932 meV per atom. As for the density of states at the Fermi level: 4.8 states/eV/cell.

```
5
Lattice="4.624 0.000 0.000 0.000 4.668 0.000 0.000 0.000 4.624" Properties=species:S:1:pos:R:3 pbc="T T T"
Cr 0.000 2.334 0.000
Co 0.000 0.000 0.000
Br 2.312 2.334 2.312
Pt 0.000 0.000 2.312
Pt 2.312 0.000 0.000
```